Entry 1:
Computed, not measured: a relaxed structure of Cd3ReCl at the GGA-PBE level of DFT.

Computed properties:
- ρ: 5.8 Mg/m³
- Total magnetization: 3.17 μB/f.u.
- Polymorph energy (0 for the lowest one): 0 meV per atom
- E_tot: -2.582 eV/atom
- Formation energy without anion corrections: 0.83 eV/atom

a = 5.4295 Å, b = 5.4295 Å, c = 5.4295 Å
α = 90.00°, β = 90.00°, γ = 90.00°
Space group Pm-3m (No. 221)
Asymmetric unit:
Cd: 0.0000 0.0000 0.5000
Re: 0.0000 0.0000 0.0000
Cl: 0.5000 0.5000 0.5000

Entry 2:
Computed, not measured: a relaxed structure of CdReCl at the GGA-PBE level of DFT.

Computed properties:
- ρ: 9.0 Mg/m³
- Total magnetization: 0.00 μB/f.u.
- Polymorph energy (0 for the lowest one): 290 meV per atom
- E_tot: -4.342 eV/atom
- Formation energy without anion corrections: 0.73 eV/atom

a = 2.9233 Å, b = 2.9233 Å, c = 14.5011 Å
α = 90.00°, β = 90.00°, γ = 90.00°
Space group I4mm (No. 107)
Asymmetric unit:
Cd: 0.0000 0.0000 0.0000
Re: 0.0000 0.0000 0.6440
Cl: 0.0000 0.0000 0.2492

Entry 3:
Computed, not measured: a relaxed structure of Cd2ReCl at the GGA-PBE level of DFT.

Computed properties:
- ρ: 9.7 Mg/m³
- Total magnetization: 0.00 μB/f.u.
- Polymorph energy (0 for the lowest one): 91 meV per atom
- E_tot: -3.639 eV/atom
- Formation energy without anion corrections: 0.39 eV/atom

a = 3.5618 Å, b = 4.8495 Å, c = 8.8175 Å
α = 90.00°, β = 90.00°, γ = 90.00°
Space group Cmmm (No. 65)
Asymmetric unit:
Cd: 0.0000 0.0000 0.2441
Re: 0.0000 0.5000 0.0000
Cl: 0.0000 0.5000 0.5000

Entry 4:
Computed, not measured: a relaxed structure of CdRe2Cl at the GGA-PBE level of DFT.

Computed properties:
- ρ: 13.4 Mg/m³
- Total magnetization: 0.00 μB/f.u.
- Polymorph energy (0 for the lowest one): 802 meV per atom
- E_tot: -6.008 eV/atom
- Formation energy without anion corrections: 0.91 eV/atom

a = 2.8657 Å, b = 2.8657 Å, c = 27.2312 Å
α = 90.00°, β = 90.00°, γ = 120.00°
Space group R-3m (No. 166, hexagonal axes)
Asymmetric unit:
Cd: 0.0000 0.0000 0.0000
Re: 0.0000 0.0000 0.2437
Cl: 0.0000 0.0000 0.5000

Entry 5:
Computed, not measured: a relaxed structure of CdRe2Cl at the GGA-PBE level of DFT.

Computed properties:
- ρ: 12.8 Mg/m³
- Total magnetization: 0.58 μB/f.u.
- Polymorph energy (0 for the lowest one): 1044 meV per atom
- E_tot: -5.766 eV/atom
- Formation energy without anion corrections: 1.15 eV/atom

a = 6.4689 Å, b = 6.4689 Å, c = 6.4689 Å
α = 90.00°, β = 90.00°, γ = 90.00°
Space group F-43m (No. 216)
Asymmetric unit:
Cd: 0.0000 0.0000 0.0000
Re: 0.0000 0.0000 0.5000
Re: 0.2500 0.2500 0.7500
Cl: 0.2500 0.2500 0.2500

Entry 6:
Computed, not measured: a relaxed structure of Cd2ReCl at the GGA-PBE level of DFT.

Computed properties:
- ρ: 8.9 Mg/m³
- Total magnetization: 1.11 μB/f.u.
- Polymorph energy (0 for the lowest one): 310 meV per atom
- E_tot: -3.420 eV/atom
- Formation energy without anion corrections: 0.61 eV/atom

a = 2.7154 Å, b = 5.3455 Å, c = 5.7676 Å
α = 90.00°, β = 90.00°, γ = 90.00°
Space group Pmm2 (No. 25)
Asymmetric unit:
Cd: 0.0000 0.0000 0.0000
Cd: 0.5000 0.5000 0.4979
Re: 0.0000 0.0000 0.4999
Cl: 0.5000 0.5000 0.9981

Entry 7:
Computed, not measured: a relaxed structure of Cd2ReCl at the GGA-PBE level of DFT.

Computed properties:
- ρ: 9.6 Mg/m³
- Total magnetization: 0.98 μB/f.u.
- Polymorph energy (0 for the lowest one): 84 meV per atom
- E_tot: -3.646 eV/atom
- Formation energy without anion corrections: 0.39 eV/atom

a = 3.0457 Å, b = 3.0457 Å, c = 8.3526 Å
α = 90.00°, β = 90.00°, γ = 90.00°
Space group P4/mmm (No. 123)
Asymmetric unit:
Cd: 0.0000 0.0000 0.2364
Re: 0.5000 0.5000 0.0000
Cl: 0.5000 0.5000 0.5000

Entry 8:
Computed, not measured: a relaxed structure of Cd2ReCl at the GGA-PBE level of DFT.

Computed properties:
- ρ: 8.9 Mg/m³
- Total magnetization: 0.00 μB/f.u.
- Polymorph energy (0 for the lowest one): 309 meV per atom
- E_tot: -3.422 eV/atom
- Formation energy without anion corrections: 0.61 eV/atom

a = 2.7933 Å, b = 4.2867 Å, c = 13.9898 Å
α = 90.00°, β = 90.00°, γ = 90.00°
Space group Immm (No. 71)
Asymmetric unit:
Cd: 0.0000 0.0000 0.1852
Re: 0.0000 0.5000 0.5000
Cl: 0.0000 0.5000 0.0000

Entry 9:
Computed, not measured: a relaxed structure of Cd2ReCl at the GGA-PBE level of DFT.

Computed properties:
- ρ: 9.8 Mg/m³
- Total magnetization: 0.80 μB/f.u.
- Polymorph energy (0 for the lowest one): 526 meV per atom
- E_tot: -3.204 eV/atom
- Formation energy without anion corrections: 0.83 eV/atom

a = 2.8954 Å, b = 4.8739 Å, c = 5.3660 Å
α = 90.00°, β = 90.00°, γ = 90.00°
Space group Pmmm (No. 47)
Asymmetric unit:
Cd: 0.0000 0.0000 0.0000
Cd: 0.5000 0.5000 0.0000
Re: 0.0000 0.5000 0.5000
Cl: 0.5000 0.0000 0.5000

Entry 10:
Computed, not measured: a relaxed structure of CdRe2Cl at the GGA-PBE level of DFT.

Computed properties:
- ρ: 13.3 Mg/m³
- Total magnetization: 0.00 μB/f.u.
- Polymorph energy (0 for the lowest one): 1498 meV per atom
- E_tot: -5.312 eV/atom
- Formation energy without anion corrections: 1.60 eV/atom

a = 6.3821 Å, b = 6.3821 Å, c = 6.3821 Å
α = 90.00°, β = 90.00°, γ = 90.00°
Space group Fm-3m (No. 225)
Asymmetric unit:
Cd: 0.0000 0.0000 0.0000
Re: 0.2500 0.2500 0.2500
Cl: 0.0000 0.0000 0.5000

Entry 11:
Computed, not measured: a relaxed structure of CdRe2Cl2 at the GGA-PBE level of DFT.

Computed properties:
- ρ: 10.0 Mg/m³
- Total magnetization: 0.00 μB/f.u.
- E_tot: -4.779 eV/atom
- Formation energy without anion corrections: 1.12 eV/atom

a = 4.1432 Å, b = 4.1432 Å, c = 10.7946 Å
α = 90.00°, β = 90.00°, γ = 90.00°
Space group I4/mmm (No. 139)
Asymmetric unit:
Cd: 0.0000 0.0000 0.0000
Re: 0.0000 0.5000 0.2500
Cl: 0.0000 0.0000 0.3609

Entry 12:
Computed, not measured: a relaxed structure of Cd2ReCl at the GGA-PBE level of DFT.

Computed properties:
- ρ: 9.6 Mg/m³
- Total magnetization: 1.97 μB/f.u.
- Polymorph energy (0 for the lowest one): 684 meV per atom
- E_tot: -3.046 eV/atom
- Formation energy without anion corrections: 0.98 eV/atom

a = 4.0445 Å, b = 4.0445 Å, c = 9.4377 Å
α = 90.00°, β = 90.00°, γ = 90.00°
Space group I4/mmm (No. 139)
Asymmetric unit:
Cd: 0.0000 0.5000 0.2500
Re: 0.0000 0.0000 0.0000
Cl: 0.0000 0.0000 0.5000

Entry 13:
Computed, not measured: a relaxed structure of CdRe2Cl at the GGA-PBE level of DFT.

Computed properties:
- ρ: 11.7 Mg/m³
- Total magnetization: 0.00 μB/f.u.
- Polymorph energy (0 for the lowest one): 364 meV per atom
- E_tot: -6.446 eV/atom
- Formation energy without anion corrections: 0.47 eV/atom

a = 2.8971 Å, b = 4.9726 Å, c = 10.2898 Å
α = 90.00°, β = 90.00°, γ = 90.00°
Space group Cmm2 (No. 35)
Asymmetric unit:
Cd: 0.0000 0.0000 0.0000
Re: 0.0000 0.0000 0.4667
Re: 0.0000 0.5000 0.2603
Cl: 0.0000 0.5000 0.6676

Entry 14:
Computed, not measured: a relaxed structure of Cd2ReCl at the GGA-PBE level of DFT.

Computed properties:
- ρ: 8.1 Mg/m³
- Total magnetization: 0.00 μB/f.u.
- Polymorph energy (0 for the lowest one): 46 meV per atom
- E_tot: -3.685 eV/atom
- Formation energy without anion corrections: 0.35 eV/atom

a = 2.9010 Å, b = 4.8936 Å, c = 12.9636 Å
α = 90.00°, β = 90.00°, γ = 90.00°
Space group Imm2 (No. 44)
Asymmetric unit:
Cd: 0.0000 0.0000 0.0000
Cd: 0.0000 0.5000 0.1574
Re: 0.0000 0.0000 0.4697
Cl: 0.0000 0.5000 0.8221

Entry 15:
Computed, not measured: a relaxed structure of Cd2ReCl at the GGA-PBE level of DFT.

Computed properties:
- ρ: 9.7 Mg/m³
- Total magnetization: 0.76 μB/f.u.
- Polymorph energy (0 for the lowest one): 65 meV per atom
- E_tot: -3.665 eV/atom
- Formation energy without anion corrections: 0.37 eV/atom

a = 3.1413 Å, b = 3.1413 Å, c = 26.8167 Å
α = 90.00°, β = 90.00°, γ = 120.00°
Space group R-3m (No. 166, hexagonal axes)
Asymmetric unit:
Cd: 0.0000 0.0000 0.2490
Re: 0.0000 0.0000 0.5000
Cl: 0.0000 0.0000 0.0000

Entry 16:
Computed, not measured: a relaxed structure of Cd2ReCl at the GGA-PBE level of DFT.

Computed properties:
- ρ: 9.5 Mg/m³
- Total magnetization: 2.06 μB/f.u.
- Polymorph energy (0 for the lowest one): 721 meV per atom
- E_tot: -3.010 eV/atom
- Formation energy without anion corrections: 1.02 eV/atom

a = 6.7882 Å, b = 6.7882 Å, c = 6.7882 Å
α = 90.00°, β = 90.00°, γ = 90.00°
Space group F-43m (No. 216)
Asymmetric unit:
Cd: 0.0000 0.0000 0.0000
Cd: 0.2500 0.2500 0.2500
Re: 0.2500 0.2500 0.7500
Cl: 0.0000 0.0000 0.5000